Record 1
# La12Tl5Pt2 | Alexandria via LeMat-Bulk | PBE-GGA | relaxed
data_La12Tl5Pt2
_chemical_formula_sum 'La12 Tl5 Pt2'
_symmetry_space_group_name_H-M 'P 1'
_symmetry_Int_Tables_number 1
_cell_length_a 8.0847
_cell_length_b 9.8973
_cell_length_c 9.9553
_cell_angle_alpha 103.53
_cell_angle_beta 90.00
_cell_angle_gamma 114.11
loop_
_symmetry_equiv_pos_as_xyz
'x,y,z'
loop_
_atom_site_label
_atom_site_fract_x
_atom_site_fract_y
_atom_site_fract_z
La1 0.5017 0.0034 0.7364
La2 0.4983 0.9966 0.2636
La3 0.0097 0.0194 0.8281
La4 0.4159 0.3173 0.0854
La5 0.6177 0.6892 0.4185
La6 0.9285 0.3108 0.5815
La7 0.9903 0.9806 0.1719
La8 0.0715 0.6892 0.4185
La9 0.9014 0.3173 0.0854
La10 0.3823 0.3108 0.5815
La11 0.5841 0.6827 0.9146
La12 0.0986 0.6827 0.9146
Tl1 0.3073 0.6147 0.1676
Tl2 0.6876 0.3753 0.3662
Tl3 0.6927 0.3853 0.8324
Tl4 0.0000 0.0000 0.5000
Tl5 0.3124 0.6247 0.6338
Pt1 0.6858 0.0000 0.0000
Pt2 0.3142 0.0000 0.0000
# ΔE_f = -316 meV per atom
# space group = C2/m
# DOS(E_F) = 1.132 states/eV/atom
# uncorrected energy = -4.687 eV per atom

Record 2
# ZrVCo2I | Alexandria via LeMat-Bulk | PBE-GGA | relaxed
data_ZrVCo2I
_chemical_formula_sum 'Zr1 V1 Co2 I1'
_symmetry_space_group_name_H-M 'P 1'
_symmetry_Int_Tables_number 1
_cell_length_a 4.4991
_cell_length_b 4.7726
_cell_length_c 4.4991
_cell_angle_alpha 90.00
_cell_angle_beta 90.00
_cell_angle_gamma 90.00
loop_
_symmetry_equiv_pos_as_xyz
'x,y,z'
loop_
_atom_site_label
_atom_site_fract_x
_atom_site_fract_y
_atom_site_fract_z
Co1 0.5000 0.0000 0.0000
Co2 0.0000 0.0000 0.5000
Zr1 0.5000 0.5000 0.5000
V1 0.0000 0.5000 0.0000
I1 0.0000 0.0000 0.0000
# raw formation energy = 115.3 kJ/mol of atoms
# space group = P4/mmm
# DOS(E_F) = 0.972 states/eV/atom
# uncorrected energy = -5.491 eV per atom

Record 3
# Ba2Si2BIr2 | Alexandria via LeMat-Bulk | PBE-GGA | relaxed
data_Ba2Si2BIr2
_chemical_formula_sum 'Ba2 Si2 B1 Ir2'
_symmetry_space_group_name_H-M 'P 1'
_symmetry_Int_Tables_number 1
_cell_length_a 4.2573
_cell_length_b 6.2943
_cell_length_c 6.9100
_cell_angle_alpha 72.91
_cell_angle_beta 72.06
_cell_angle_gamma 70.23
loop_
_symmetry_equiv_pos_as_xyz
'x,y,z'
loop_
_atom_site_label
_atom_site_fract_x
_atom_site_fract_y
_atom_site_fract_z
Si1 0.2066 0.3666 0.2203
Si2 0.7934 0.6334 0.7797
Ba1 0.4381 0.7981 0.3257
Ba2 0.5619 0.2019 0.6743
Ir1 0.1885 0.6922 0.9307
Ir2 0.8115 0.3078 0.0693
B1 0.0000 0.0000 0.0000
# raw formation energy = -61.6 kJ/mol of atoms
# space group = C2/m
# DOS(E_F) = 0.312 states/eV/atom
# uncorrected energy = -6.223 eV per atom

Record 4
# Cs2CeScSe4 | Alexandria via LeMat-Bulk | PBE-GGA | relaxed
data_Cs2CeScSe4
_chemical_formula_sum 'Cs2 Ce1 Sc1 Se4'
_symmetry_space_group_name_H-M 'P 1'
_symmetry_Int_Tables_number 1
_cell_length_a 4.2589
_cell_length_b 7.3634
_cell_length_c 8.6900
_cell_angle_alpha 106.31
_cell_angle_beta 90.00
_cell_angle_gamma 90.00
loop_
_symmetry_equiv_pos_as_xyz
'x,y,z'
loop_
_atom_site_label
_atom_site_fract_x
_atom_site_fract_y
_atom_site_fract_z
Se1 0.0000 0.7467 0.1856
Se2 0.5000 0.7898 0.8209
Se3 0.5000 0.2102 0.1791
Se4 0.0000 0.2533 0.8144
Ce1 0.5000 0.5000 0.0000
Cs1 0.0000 0.5000 0.5000
Cs2 0.5000 0.0000 0.5000
Sc1 0.0000 0.0000 0.0000
# raw formation energy = -154.0 kJ/mol of atoms
# space group = P2/m
# DOS(E_F) = 0.804 states/eV/atom
# uncorrected energy = -5.085 eV per atom

Record 5
# Pm4CoPb | Alexandria via LeMat-Bulk | PBE-GGA | relaxed
data_Pm4CoPb
_chemical_formula_sum 'Pm8 Co2 Pb2'
_symmetry_space_group_name_H-M 'P 1'
_symmetry_Int_Tables_number 1
_cell_length_a 6.1631
_cell_length_b 7.1143
_cell_length_c 9.1499
_cell_angle_alpha 112.88
_cell_angle_beta 109.12
_cell_angle_gamma 90.00
loop_
_symmetry_equiv_pos_as_xyz
'x,y,z'
loop_
_atom_site_label
_atom_site_fract_x
_atom_site_fract_y
_atom_site_fract_z
Pb1 0.8088 0.8056 0.6112
Pb2 0.1912 0.1944 0.3888
Pm1 0.0000 0.7652 0.0000
Pm2 0.6209 0.3668 0.2331
Pm3 0.2095 0.6880 0.3761
Pm4 0.0000 0.2348 0.0000
Pm5 0.3791 0.1337 0.7669
Pm6 0.7905 0.3120 0.6239
Pm7 0.6209 0.8663 0.2331
Pm8 0.3791 0.6332 0.7669
Co1 0.3193 0.5216 0.0432
Co2 0.6807 0.4784 0.9568
# distance to the lowest polymorph of the same formula = 0.0 meV per atom
# ΔE_f = -254 meV per atom
# space group = C2/m
# DOS(E_F) = 0.914 states/eV/atom
# uncorrected energy = -5.224 eV per atom

Record 6
# PmSn2Te4 | Alexandria via LeMat-Bulk | PBE-GGA | relaxed
data_PmSn2Te4
_chemical_formula_sum 'Pm2 Sn4 Te8'
_symmetry_space_group_name_H-M 'P 1'
_symmetry_Int_Tables_number 1
_cell_length_a 4.3760
_cell_length_b 7.6566
_cell_length_c 14.5978
_cell_angle_alpha 90.00
_cell_angle_beta 90.00
_cell_angle_gamma 106.60
loop_
_symmetry_equiv_pos_as_xyz
'x,y,z'
loop_
_atom_site_label
_atom_site_fract_x
_atom_site_fract_y
_atom_site_fract_z
Te1 0.0497 0.0993 0.2500
Te2 0.7817 0.5633 0.3685
Te3 0.5000 0.0000 0.5000
Te4 0.5000 0.0000 0.0000
Te5 0.2183 0.4367 0.8685
Te6 0.7817 0.5633 0.1315
Te7 0.2183 0.4367 0.6315
Te8 0.9503 0.9007 0.7500
Pm1 0.6035 0.2070 0.7500
Pm2 0.3965 0.7930 0.2500
Sn1 0.1356 0.2711 0.4392
Sn2 0.8644 0.7289 0.5608
Sn3 0.1356 0.2711 0.0608
Sn4 0.8644 0.7289 0.9392
# raw formation energy = -59.2 kJ/mol of atoms
# space group = Cmcm
# DOS(E_F) = 0.489 states/eV/atom
# uncorrected energy = -4.232 eV per atom

Record 7
# Sc4SnTe4 | Alexandria via LeMat-Bulk | PBE-GGA | relaxed
data_Sc4SnTe4
_chemical_formula_sum 'Sc4 Sn1 Te4'
_symmetry_space_group_name_H-M 'P 1'
_symmetry_Int_Tables_number 1
_cell_length_a 4.1151
_cell_length_b 7.2601
_cell_length_c 9.2511
_cell_angle_alpha 75.65
_cell_angle_beta 77.15
_cell_angle_gamma 73.54
loop_
_symmetry_equiv_pos_as_xyz
'x,y,z'
loop_
_atom_site_label
_atom_site_fract_x
_atom_site_fract_y
_atom_site_fract_z
Te1 0.1007 0.1994 0.5993
Te2 0.8993 0.8006 0.4007
Te3 0.3030 0.5968 0.7972
Te4 0.6970 0.4032 0.2028
Sn1 0.5000 0.0000 0.0000
Sc1 0.9019 0.2948 0.9015
Sc2 0.6982 0.9061 0.6975
Sc3 0.3018 0.0939 0.3025
Sc4 0.0981 0.7052 0.0985
# raw formation energy = -104.1 kJ/mol of atoms
# space group = C2/m
# DOS(E_F) = 0.196 states/eV/atom
# uncorrected energy = -5.734 eV per atom

Record 8
# NaAlPt2 | Alexandria via LeMat-Bulk | PBE-GGA | relaxed
data_NaAlPt2
_chemical_formula_sum 'Na1 Al1 Pt2'
_symmetry_space_group_name_H-M 'P 1'
_symmetry_Int_Tables_number 1
_cell_length_a 3.4749
_cell_length_b 4.2173
_cell_length_c 4.2173
_cell_angle_alpha 90.00
_cell_angle_beta 90.00
_cell_angle_gamma 90.00
loop_
_symmetry_equiv_pos_as_xyz
'x,y,z'
loop_
_atom_site_label
_atom_site_fract_x
_atom_site_fract_y
_atom_site_fract_z
Al1 0.5000 0.5000 0.5000
Pt1 0.0000 0.5000 0.0000
Pt2 0.0000 0.0000 0.5000
Na1 0.5000 0.0000 0.0000
# ΔE_f = -492 meV per atom
# space group = P4/mmm
# DOS(E_F) = 0.319 states/eV/atom
# uncorrected energy = -4.777 eV per atom